Entry 1:
# LiGaSnPd

Crystalline LiGaSnPd at its relaxed geometry (PBE-GGA, the Open Quantum Materials Database).

Results
Raw total energy, eV/atom: -3.838

a = 4.598 Å, b = 4.598 Å, c = 4.598 Å
α = 60.00°, β = 60.00°, γ = 60.00°
Element x y z (fractional)
Li (0.000, 0.000, 0.000)
Ga (0.500, 0.500, 0.500)
Sn (0.750, 0.750, 0.750)
Pd (0.250, 0.250, 0.250)


Entry 2:
# Li2Zn2GaSnPd2

Crystalline Li2Zn2GaSnPd2 at its relaxed geometry (PBE-GGA, the Open Quantum Materials Database).

Results
Raw total energy, eV/atom: -3.451

a = 4.409 Å, b = 4.409 Å, c = 6.285 Å
α = 90.00°, β = 90.00°, γ = 90.00°
Element x y z (fractional)
Li (0.000, 0.500, 0.234)
Li (0.500, 0.000, 0.766)
Zn (0.000, 0.000, 0.000)
Zn (0.500, 0.500, 0.500)
Ga (0.500, 0.500, 0.000)
Sn (0.000, 0.000, 0.500)
Pd (0.000, 0.500, 0.763)
Pd (0.500, 0.000, 0.237)


Entry 3:
# LiYGa2Pd4

Crystalline LiYGa2Pd4 at its relaxed geometry (PBE-GGA, the Open Quantum Materials Database).

Results
Raw total energy, eV/atom: -5.103

a = 4.506 Å, b = 4.506 Å, c = 6.394 Å
α = 90.00°, β = 90.00°, γ = 90.00°
Element x y z (fractional)
Li (0.000, 0.000, 0.000)
Y (0.500, 0.500, 0.500)
Ga (0.000, 0.000, 0.500)
Ga (0.500, 0.500, 0.000)
Pd (0.000, 0.500, 0.228)
Pd (0.000, 0.500, 0.772)
Pd (0.500, 0.000, 0.228)
Pd (0.500, 0.000, 0.772)